1.
! KMg2Ga PBE-GGA relaxed; values from VASP
&SYSTEM
  ibrav = 0, nat = 4, ntyp = 3
/
ATOMIC_SPECIES
K 39.10 K.upf
Mg 24.30 Mg.upf
Ga 69.72 Ga.upf
CELL_PARAMETERS angstrom
-0.035 -2.956 1.509
1.621 -2.567 -1.341
9.904 1.028 5.896
ATOMIC_POSITIONS angstrom
K 0.000 0.000 0.000
Mg 4.395 -4.664 1.918
Mg 7.094 0.168 4.146
Ga 5.745 -2.248 3.032
! * ΔH_f (0 K): 0.21 eV/atom
! * volume: 27.22 Å³/atom
! * VASP energy: -6.5 eV per formula unit
! * total magnetization: 0.000 μB per atom

---

2.
! KMg9Ga3 PBE-GGA relaxed; values from VASP
&SYSTEM
  ibrav = 0, nat = 13, ntyp = 3
/
ATOMIC_SPECIES
Mg 24.30 Mg.upf
K 39.10 K.upf
Ga 69.72 Ga.upf
CELL_PARAMETERS angstrom
5.375 -0.024 2.182
2.561 7.115 1.040
-0.034 -0.012 7.794
ATOMIC_POSITIONS angstrom
Mg 0.935 2.482 5.407
Mg 2.098 1.549 2.602
Mg 4.406 2.470 4.569
Mg 3.496 4.610 6.446
Mg 1.281 3.558 0.520
Mg 5.804 5.531 8.414
Mg 4.618 5.543 3.625
Mg 3.284 1.537 7.391
Mg 6.967 4.598 5.609
K 0.000 0.000 0.000
Ga 3.968 3.546 1.611
Ga -0.017 -0.006 3.897
Ga 2.671 -0.018 4.988
! * ΔH_f (0 K): -0.05 eV/atom
! * volume: 23.01 Å³/atom
! * VASP energy: -25.2 eV per formula unit
! * total magnetization: 0.000 μB per atom

---

3.
! KMgGa PBE-GGA relaxed; values from VASP
&SYSTEM
  ibrav = 0, nat = 3, ntyp = 3
/
ATOMIC_SPECIES
Ga 69.72 Ga.upf
K 39.10 K.upf
Mg 24.30 Mg.upf
CELL_PARAMETERS angstrom
3.569 0.000 0.000
0.000 5.299 0.000
0.000 -2.649 4.589
ATOMIC_POSITIONS angstrom
Ga 0.594 0.000 0.000
K 2.379 0.000 3.059
Mg 0.596 2.649 1.530
! * ΔH_f (0 K): 0.13 eV/atom
! * volume: 28.93 Å³/atom
! * VASP energy: -5.3 eV per formula unit
! * energy relative to the lowest polymorph listed for this composition: 193 meV/atom
! * total magnetization: 0.000 μB per atom

---

4.
! KMg14Ga PBE-GGA relaxed; values from VASP
&SYSTEM
  ibrav = 0, nat = 16, ntyp = 3
/
ATOMIC_SPECIES
K 39.10 K.upf
Mg 24.30 Mg.upf
Ga 69.72 Ga.upf
CELL_PARAMETERS angstrom
1.940 2.440 -5.675
-2.074 3.964 4.680
9.864 0.782 3.708
ATOMIC_POSITIONS angstrom
K 6.180 3.094 -2.035
Mg 2.035 1.946 1.490
Mg -0.740 3.458 1.239
Mg 2.931 3.140 -1.302
Mg 8.107 3.550 0.643
Mg 5.204 1.920 0.809
Mg 7.107 2.348 3.397
Mg 7.042 5.488 2.910
Mg 1.274 2.693 -3.956
Mg 0.239 4.704 -1.626
Mg 0.307 1.442 -1.120
Mg 5.862 4.279 5.641
Mg 1.223 3.911 3.897
Mg 1.969 5.086 1.003
Mg 5.139 5.033 0.326
Ga 4.237 3.831 2.978
! * ΔH_f (0 K): 0.07 eV/atom
! * volume: 23.99 Å³/atom
! * VASP energy: -25.3 eV per formula unit
! * energy relative to the lowest polymorph listed for this composition: 0 meV/atom
! * total magnetization: 0.000 μB per atom

---

5.
! KMgGa2 PBE-GGA relaxed; values from VASP
&SYSTEM
  ibrav = 0, nat = 4, ntyp = 3
/
ATOMIC_SPECIES
Mg 24.30 Mg.upf
Ga 69.72 Ga.upf
K 39.10 K.upf
CELL_PARAMETERS angstrom
3.505 0.000 0.000
0.000 3.505 0.000
0.000 0.000 8.148
ATOMIC_POSITIONS angstrom
Mg 1.753 1.753 0.000
Ga 0.000 0.000 6.618
Ga 0.000 0.000 1.530
K 1.753 1.753 4.074
! * ΔH_f (0 K): -0.06 eV/atom
! * volume: 25.03 Å³/atom
! * VASP energy: -9.0 eV per formula unit
! * total magnetization: 0.000 μB per atom

---

6.
! KMg3Ga PBE-GGA relaxed; values from VASP
&SYSTEM
  ibrav = 0, nat = 5, ntyp = 3
/
ATOMIC_SPECIES
Mg 24.30 Mg.upf
K 39.10 K.upf
Ga 69.72 Ga.upf
CELL_PARAMETERS angstrom
5.342 0.000 0.000
0.000 5.342 0.000
0.000 0.000 5.342
ATOMIC_POSITIONS angstrom
Mg 2.671 0.000 0.000
Mg 0.000 0.000 2.671
Mg 0.000 2.671 0.000
K 2.671 2.671 2.671
Ga 0.000 0.000 0.000
! * ΔH_f (0 K): 0.14 eV/atom
! * volume: 30.49 Å³/atom
! * VASP energy: -8.2 eV per formula unit
! * energy relative to the lowest polymorph listed for this composition: 0 meV/atom
! * total magnetization: 0.000 μB per atom